[1]
# GGA-PBE CaPm2Lu, relaxed
data_CaPm2Lu
_cell_length_a 5.7838
_cell_length_b 5.7838
_cell_length_c 5.7838
_cell_angle_alpha 60.00
_cell_angle_beta 60.00
_cell_angle_gamma 60.00
_space_group_name_H-M_alt 'P 1'
_space_group_IT_number 1
_space_group_name_Hall 'P 1'
loop_
_atom_site_label
_atom_site_type_symbol
_atom_site_fract_x
_atom_site_fract_y
_atom_site_fract_z
Ca1 Ca 0.5000 0.5000 0.5000
Lu1 Lu 0.0000 0.0000 0.0000
Pm1 Pm 0.2500 0.2500 0.2500
Pm2 Pm 0.7500 0.7500 0.7500
# Energy (eV/atom): -3.8879
# Energy relative to the lowest polymorph listed for this composition (meV per atom): 43.6
# SG: Fm-3m
# Total magnetization (μB per formula unit): 0.0
# Crystal system: cubic


[2]
# GGA-PBE CaPm2Lu, relaxed
data_CaPm2Lu
_cell_length_a 3.5689
_cell_length_b 3.5689
_cell_length_c 12.8941
_cell_angle_alpha 82.05
_cell_angle_beta 82.05
_cell_angle_gamma 60.00
_space_group_name_H-M_alt 'P 1'
_space_group_IT_number 1
_space_group_name_Hall 'P 1'
loop_
_atom_site_label
_atom_site_type_symbol
_atom_site_fract_x
_atom_site_fract_y
_atom_site_fract_z
Ca1 Ca 0.0000 0.0000 0.0000
Lu1 Lu 0.5000 0.5000 0.5000
Pm1 Pm 0.0925 0.0925 0.7225
Pm2 Pm 0.9075 0.9075 0.2775
# Energy (eV/atom): -3.8646
# Energy relative to the lowest polymorph listed for this composition (meV per atom): 67.0
# SG: R-3m
# Total magnetization (μB per formula unit): 0.0
# Crystal system: trigonal


[3]
# GGA-PBE CaPm2Lu, relaxed
data_CaPm2Lu
_cell_length_a 4.9855
_cell_length_b 5.2193
_cell_length_c 5.2193
_cell_angle_alpha 90.00
_cell_angle_beta 90.00
_cell_angle_gamma 90.00
_space_group_name_H-M_alt 'P 1'
_space_group_IT_number 1
_space_group_name_Hall 'P 1'
loop_
_atom_site_label
_atom_site_type_symbol
_atom_site_fract_x
_atom_site_fract_y
_atom_site_fract_z
Ca1 Ca 0.5000 0.0000 0.0000
Lu1 Lu 0.5000 0.5000 0.5000
Pm1 Pm 0.0000 0.0000 0.5000
Pm2 Pm 0.0000 0.5000 0.0000
# Energy (eV/atom): -3.8945
# Energy relative to the lowest polymorph listed for this composition (meV per atom): 37.1
# SG: P4/mmm
# Total magnetization (μB per formula unit): 0.0
# Crystal system: tetragonal